Material: CaAs2Ru
Method: DFT, GGA-PBEsol
State: relaxed

Values from the calculation:
Its density of states at the Fermi level is 1.80 states/eV/cell. As for the formation energy: -0.385 eV/atom.

Cell and atoms, written as CIF:
```
data_CaAs2Ru
_chemical_formula_sum 'Ca1 As2 Ru1'
_cell_length_a 3.193
_cell_length_b 4.135
_cell_length_c 5.580
_cell_angle_alpha 90.00
_cell_angle_beta 90.00
_cell_angle_gamma 90.00
_symmetry_space_group_name_H-M 'P m m m'
_symmetry_Int_Tables_number 47
loop_
_symmetry_equiv_pos_as_xyz
'x,y,z'
'-x,-y,-z'
'-x,-y,z'
'x,y,-z'
'x,-y,-z'
'-x,y,z'
'-x,y,-z'
'x,-y,z'
loop_
_atom_site_label
_atom_site_fract_x
_atom_site_fract_y
_atom_site_fract_z
_atom_site_occupancy
Ca1 0.000 0.000 0.000 1
As1 0.500 0.500 0.264 1
Ru1 0.500 0.000 0.500 1
```

=====

Material: CaAsRu
Method: DFT, GGA-PBEsol
State: relaxed

Values from the calculation:
Its density of states at the Fermi level is 11.46 states/eV/cell. As for the formation energy: 0.827 eV/atom.

Cell and atoms, written as CIF:
```
data_CaAsRu
_chemical_formula_sum 'Ca4 As4 Ru4'
_cell_length_a 6.314
_cell_length_b 6.314
_cell_length_c 6.314
_cell_angle_alpha 90.00
_cell_angle_beta 90.00
_cell_angle_gamma 90.00
_symmetry_space_group_name_H-M 'F -4 3 m'
_symmetry_Int_Tables_number 216
_symmetry_space_group_name_Hall 'F -4 2 3'
loop_
_atom_site_label
_atom_site_fract_x
_atom_site_fract_y
_atom_site_fract_z
_atom_site_occupancy
Ca1 0.000 0.000 0.000 1
As1 0.250 0.250 0.750 1
Ru1 0.250 0.250 0.250 1
```

=====

Material: CaAsRu
Method: DFT, GGA-PBEsol
State: relaxed

Values from the calculation:
Its density of states at the Fermi level is 9.48 states/eV/cell. As for the formation energy: -0.045 eV/atom.

Cell and atoms, written as CIF:
```
data_CaAsRu
_chemical_formula_sum 'Ca4 As4 Ru4'
_cell_length_a 6.168
_cell_length_b 6.168
_cell_length_c 6.168
_cell_angle_alpha 90.00
_cell_angle_beta 90.00
_cell_angle_gamma 90.00
_symmetry_space_group_name_H-M 'F -4 3 m'
_symmetry_Int_Tables_number 216
_symmetry_space_group_name_Hall 'F -4 2 3'
loop_
_atom_site_label
_atom_site_fract_x
_atom_site_fract_y
_atom_site_fract_z
_atom_site_occupancy
Ca1 0.000 0.000 0.000 1
As1 0.000 0.000 0.500 1
Ru1 0.250 0.250 0.250 1
```

=====

Material: CaAsRu
Method: DFT, GGA-PBEsol
State: relaxed

Values from the calculation:
Its density of states at the Fermi level is 2.68 states/eV/cell. As for the formation energy: -0.436 eV/atom.

Cell and atoms, written as CIF:
```
data_CaAsRu
_chemical_formula_sum 'Ca1 As1 Ru1'
_cell_length_a 4.0941
_cell_length_b 4.0941
_cell_length_c 4.2544
_cell_angle_alpha 90.00
_cell_angle_beta 90.00
_cell_angle_gamma 120.00
_symmetry_space_group_name_H-M 'P -6 m 2'
_symmetry_Int_Tables_number 187
_symmetry_space_group_name_Hall 'P -6 2'
loop_
_atom_site_label
_atom_site_fract_x
_atom_site_fract_y
_atom_site_fract_z
_atom_site_occupancy
Ca1 0.0000 0.0000 0.0000 1
As1 0.6667 0.3333 0.5000 1
Ru1 0.3333 0.6667 0.5000 1
```